A geometry-optimized LiTlIn structure, computed with PBEsol.

abc: 3.3561 4.2481 9.6543
angles: 90.00 90.00 90.00
Space group Imm2 (No. 44)
Asymmetric unit:
Li 0.0000 0.0000 0.0000 (multiplicity 2)
Tl 0.0000 0.0000 0.6624 (multiplicity 2)
In 0.0000 0.0000 0.3375 (multiplicity 2)

Calculated values
Its crystal system is orthorhombic. The calculation puts the formation energy at -0.1439 eV per atom. For the volume, the calculation gives 22.9 Å³/atom. For the energy above the most stable polymorph in this dataset, the calculation gives 25 meV per atom. As for the total energy: -16.02 eV for the cell shown.

***

A geometry-optimized Zn4Co3 structure, computed with PBEsol.

abc: 2.6523 2.6523 23.7740
angles: 90.00 90.00 90.00
Space group I4/mmm (No. 139)
Asymmetric unit:
Zn 0.0000 0.0000 0.0672 (multiplicity 4)
Zn 0.0000 0.0000 0.3505 (multiplicity 4)
Co 0.0000 0.0000 0.2198 (multiplicity 4)
Co 0.0000 0.0000 0.5000 (multiplicity 2)

Calculated values
Its crystal system is tetragonal. The calculation puts the formation energy at -0.0198 eV per atom. For the volume, the calculation gives 11.9 Å³/atom. As for the total energy: -59.35 eV for the cell shown.